1.
The following is a PBE-GGA calculation of crystalline BaLiPO2 at its relaxed geometry, from Alexandria.

It has space group P4/mmm (No. 123), with a = 4.363 Å, b = 4.363 Å, c = 4.193 Å, α = 90.00°, β = 90.00° and γ = 90.00°. The inequivalent atoms are Ba at (0.000, 0.000, 0.000), Li at (0.500, 0.500, 0.500), P at (0.500, 0.500, 0.000) and O at (0.000, 0.500, 0.500).

The total energy comes out at -4.383 eV/atom. The energy above the most stable polymorph in this dataset comes out at 0.0000 eV per atom. The raw formation energy comes out at -0.55 eV per atom.

=====

2.
The following is a PBE-GGA calculation of crystalline SrCa2Al at its relaxed geometry, from Alexandria.

It has space group I-42d (No. 122), with a = 4.931 Å, b = 4.931 Å, c = 24.359 Å, α = 90.00°, β = 90.00° and γ = 90.00°. The inequivalent atoms are Sr at (0.000, 0.000, 0.000), Ca at (0.224, 0.250, 0.625) and Al at (0.000, 0.000, 0.500).

Its formation energy is 0.24 eV per atom. The total energy comes out at -2.121 eV/atom.

=====

3.
The following is a PBE-GGA calculation of crystalline LiIn2Hg4Pb at its relaxed geometry, from Alexandria.

It has space group F222 (No. 22), with a = 8.665 Å, b = 8.682 Å, c = 11.972 Å, α = 90.00°, β = 90.00° and γ = 90.00°. The inequivalent atoms are Li at (0.000, 0.000, 0.000), In at (0.000, 0.000, 0.500), In at (0.250, 0.250, 0.250), Hg at (0.000, 0.000, 0.240), Hg at (0.250, 0.250, 0.004) and Pb at (0.250, 0.250, 0.750).

Its formation energy is -0.01 eV per atom. The total energy comes out at -1.546 eV/atom.

=====

4.
The following is a PBE-GGA calculation of crystalline La2Cd3Ag4 at its relaxed geometry, from Alexandria.

It has space group Cmce (No. 64), with a = 6.169 Å, b = 16.626 Å, c = 8.445 Å, α = 90.00°, β = 90.00° and γ = 90.00°. The inequivalent atoms are La at (0.000, 0.114, 0.082), Cd at (0.000, 0.000, 0.500), Cd at (0.250, 0.225, 0.750), Ag at (0.000, 0.177, 0.472) and Ag at (0.250, 0.053, 0.750).

Its formation energy is -0.22 eV per atom. The total energy comes out at -2.884 eV/atom. The energy above the most stable polymorph in this dataset comes out at 0.0316 eV per atom.

=====

5.
The following is a PBE-GGA calculation of crystalline Ac8AgIr2 at its relaxed geometry, from Alexandria.

It has space group Cm (No. 8), with a = 9.070 Å, b = 14.095 Å, c = 6.583 Å, α = 90.00°, β = 105.34° and γ = 90.00°. The inequivalent atoms are Ac at (0.000, 0.000, 0.000), Ac at (0.095, 0.367, 0.803), Ac at (0.170, 0.132, 0.611), Ac at (0.254, 0.500, 0.398), Ac at (0.385, 0.230, 0.203), Ag at (0.377, 0.000, 0.059) and Ir at (0.383, 0.300, 0.707).

Its formation energy is -0.23 eV per atom. The total energy comes out at -5.086 eV/atom.

=====

6.
The following is a PBE-GGA calculation of crystalline MgGaCoIr at its relaxed geometry, from Alexandria.

It has space group F-43m (No. 216), with a = 6.024 Å, b = 6.024 Å, c = 6.024 Å, α = 90.00°, β = 90.00° and γ = 90.00°. The inequivalent atoms are Mg at (0.000, 0.000, 0.000), Ga at (0.000, 0.000, 0.500), Co at (0.250, 0.250, 0.750) and Ir at (0.250, 0.250, 0.250).

Its formation energy is -0.29 eV per atom. The total energy comes out at -5.442 eV/atom.

=====

7.
The following is a PBE-GGA calculation of crystalline CePu4N5 at its relaxed geometry, from Alexandria.

It has space group I4/mmm (No. 139), with a = 3.483 Å, b = 3.483 Å, c = 24.990 Å, α = 90.00°, β = 90.00° and γ = 90.00°. The inequivalent atoms are Ce at (0.000, 0.000, 0.000), Pu at (0.000, 0.000, 0.201), Pu at (0.000, 0.000, 0.399), N at (0.000, 0.000, 0.101), N at (0.000, 0.000, 0.298) and N at (0.000, 0.000, 0.500).

The total energy comes out at -11.756 eV/atom. The raw formation energy comes out at -1.27 eV per atom.

=====

8.
The following is a PBE-GGA calculation of crystalline Y3InO at its relaxed geometry, from Alexandria.

It has space group P2_1/m (No. 11), with a = 3.378 Å, b = 8.585 Å, c = 8.526 Å, α = 90.00°, β = 101.24° and γ = 90.00°. The inequivalent atoms are Y at (0.098, 0.065, 0.198), Y at (0.237, 0.750, 0.466), In at (0.438, 0.250, 0.879) and O at (0.368, 0.750, 0.732).

The total energy comes out at -6.638 eV/atom. The raw formation energy comes out at -1.22 eV per atom.